CaSm2Cd5, relaxed, DFT PBE; formation energy = -290 meV per atom; V = 208 Å³/cell; VASP energy = -2.2919 eV per atom; space group = I4/mmm
1.0
5.1194 0.0000 0.0000
0.0000 5.1194 0.0000
-2.5597 -2.5597 7.9268
Cd Sm Ca
5 2 1
direct
0.8814 0.3814 0.7627
0.5000 0.5000 0.0000
0.3814 0.8814 0.7627
0.6186 0.1186 0.2373
0.1186 0.6186 0.2373
0.7378 0.7378 0.4757
0.2622 0.2622 0.5243
0.0000 0.0000 0.0000

---

CrPtBr, relaxed, DFT PBE; excess energy over the best structure of this formula in the dataset = 0.458 eV/atom; V = 60 Å³/cell; raw formation energy = 0.467 eV/atom; VASP energy = -5.3125 eV per atom; space group = F-43m
1.0
4.3944 0.0000 0.0000
2.1972 3.8056 0.0000
2.1972 1.2685 3.5880
Cr Pt Br
1 1 1
direct
0.7500 0.7500 0.7500
0.0000 0.0000 0.0000
0.5000 0.5000 0.5000

---

ZrAgSnS4, relaxed, DFT PBE; V = 329 Å³/cell; raw formation energy = -0.808 eV/atom; VASP energy = -5.3671 eV per atom; space group = Imma
1.0
-2.5982 -7.1049 -0.3954
3.4557 -5.5387 4.2496
-3.6510 -3.0467 6.1697
S Sn Zr Ag
8 2 2 2
direct
0.2406 0.7789 0.7398
0.7594 0.2211 0.2602
0.7353 0.7698 0.2698
0.2250 0.7698 0.2698
0.7750 0.2302 0.7302
0.7594 0.7602 0.7211
0.2647 0.2302 0.7302
0.2406 0.2398 0.2789
0.0000 0.5000 0.5000
0.0000 0.0000 0.0000
0.0000 0.0000 0.5000
0.5000 0.0000 0.5000
0.3707 0.3793 0.8793
0.6293 0.6207 0.1207

---

AcNdY5, relaxed, DFT PBE; excess energy over the best structure of this formula in the dataset = 0.115 eV/atom; formation energy = 205 meV per atom; V = 495 Å³/cell; VASP energy = -5.6801 eV per atom; space group = C2/c
1.0
-9.2384 5.5602 -2.2905
-7.3400 -6.3009 -5.2851
-11.9133 -1.7001 -0.8180
Nd Ac Y
2 2 10
direct
0.4317 0.5683 0.2500
0.5683 0.4317 0.7500
0.0000 0.0000 0.0000
0.0000 0.0000 0.5000
0.3006 0.6994 0.7500
0.0553 0.4755 0.3379
0.4755 0.0553 0.8379
0.5245 0.9447 0.1621
0.6994 0.3006 0.2500
0.7867 0.6459 0.1663
0.3541 0.2133 0.3337
0.6459 0.7867 0.6663
0.9447 0.5245 0.6621
0.2133 0.3541 0.8337

---

MnBeAs2, relaxed, DFT PBE; excess energy over the best structure of this formula in the dataset = 0.281 eV/atom; formation energy = 247 meV per atom; V = 57 Å³/cell; VASP energy = -5.3020 eV per atom; space group = Immm
1.0
-2.0951 -0.5044 -4.0428
-4.0940 -1.6573 1.2169
2.3559 3.8152 0.9390
Be As Mn
1 2 1
direct
0.2500 0.7500 0.5000
0.4681 0.4681 0.0000
0.0319 0.0319 0.0000
0.7500 0.2500 0.5000

---

ReTcO3, relaxed, DFT PBE; V = 60 Å³/cell; raw formation energy = -0.357 eV/atom; VASP energy = -7.8947 eV per atom; space group = Pm-3m
1.0
3.9078 0.0000 0.0000
0.0000 3.9078 0.0000
0.0000 0.0000 3.9078
Tc O Re
1 3 1
direct
0.5000 0.5000 0.5000
0.5000 0.0000 0.0000
0.0000 0.0000 0.5000
0.0000 0.5000 0.0000
0.0000 0.0000 0.0000

---

Li2PRu, relaxed, DFT PBE; formation energy = -414 meV per atom; V = 54 Å³/cell; VASP energy = -5.0423 eV per atom; space group = P4mm
1.0
3.0333 0.0000 0.0000
0.0000 3.0333 0.0000
0.0000 0.0000 5.9188
Ru Li P
1 2 1
direct
0.5000 0.5000 0.7124
0.5000 0.5000 0.2707
0.0000 0.0000 0.9839
0.0000 0.0000 0.5329

---

Pm2SmDy, relaxed, DFT PBE; excess energy over the best structure of this formula in the dataset = 0.123 eV/atom; formation energy = 137 meV per atom; V = 135 Å³/cell; VASP energy = -4.5689 eV per atom; space group = Fm-3m
1.0
-0.0884 1.1489 5.6373
-4.2685 -2.0276 3.2827
1.0386 -4.1882 3.8063
Pm Dy Sm
2 1 1
direct
0.2500 0.2500 0.2500
0.7500 0.7500 0.7500
0.0000 0.0000 0.0000
0.5000 0.5000 0.5000

---

La2RhPb, relaxed, DFT PBE; formation energy = -658 meV per atom; V = 235 Å³/cell; VASP energy = -5.8864 eV per atom; space group = Cmcm
1.0
3.9256 0.0000 -1.1124
0.0000 7.4384 0.0000
0.1526 0.0000 8.0214
La Pb Rh
4 2 2
direct
0.3568 0.5014 0.7136
0.6432 0.0014 0.2864
0.3568 0.9986 0.7136
0.6432 0.4986 0.2864
0.0001 0.2500 0.0002
0.9999 0.7500 0.9998
0.1913 0.7500 0.3826
0.8087 0.2500 0.6174

---

Ca2NiRu, relaxed, DFT PBE; formation energy = 410 meV per atom; V = 77 Å³/cell; VASP energy = -4.3549 eV per atom; space group = F-43m
1.0
-2.0413 -0.6499 4.2749
-4.2774 -2.1145 0.3102
-0.3637 -4.4020 1.8313
Ca Ni Ru
2 1 1
direct
0.2500 0.2500 0.2500
0.0000 0.0000 0.0000
0.5000 0.5000 0.5000
0.7500 0.7500 0.7500

---

AcCePu2Se4, relaxed, DFT PBE; V = 217 Å³/cell; raw formation energy = -1.669 eV/atom; VASP energy = -8.2493 eV per atom; space group = P2/m
1.0
4.2268 0.0000 0.0000
0.0000 7.4149 -0.1820
0.0000 2.5771 6.8661
Se Pu Ce Ac
4 2 1 1
direct
0.0000 0.7671 0.7368
0.0000 0.2329 0.2632
0.5000 0.7616 0.2534
0.5000 0.2384 0.7466
0.5000 0.0000 0.5000
0.0000 0.0000 0.0000
0.0000 0.5000 0.5000
0.5000 0.5000 0.0000

---

Ac2AgTe, relaxed, DFT PBE; excess energy over the best structure of this formula in the dataset = 0.100 eV/atom; V = 131 Å³/cell; raw formation energy = -0.742 eV/atom; VASP energy = -4.2946 eV per atom; space group = P4/mmm
1.0
4.0351 0.0000 0.0000
0.0000 4.0351 0.0000
0.0000 0.0000 8.0416
Ac Te Ag
2 1 1
direct
0.0000 0.0000 0.7541
0.0000 0.0000 0.2459
0.5000 0.5000 0.5000
0.5000 0.5000 0.0000